Record 1
This record from Alexandria via LeMat-Bulk describes crystalline K2H2Se at its relaxed geometry. The functional is PBE.

Computed properties:
E above lowest polymorph   0.238 eV per atom
Raw total energy   -2.909 eV/atom
Calculated volume   200.2 Å³/f.u.
Theoretical density   1.32 g/cm3

a b c (Å): 8.483 8.483 5.564
angles (deg): 90.00 90.00 90.00
Positions (direct):
K1 0.193 0.307 0.000
K2 0.807 0.693 0.000
H1 0.468 0.032 0.500
Se1 0.500 0.500 0.000
H2 0.532 0.968 0.500
H3 0.032 0.532 0.500
K3 0.693 0.193 0.000
Se2 0.000 0.000 0.000
K4 0.307 0.807 0.000
H4 0.968 0.468 0.500

Record 2
This record from Alexandria via LeMat-Bulk describes crystalline Ce4Tl5Hg at its relaxed geometry. The functional is PBE.

Computed properties:
E above lowest polymorph   0.000 eV per atom
Raw total energy   -3.796 eV/atom
Calculated volume   290.2 Å³/f.u.
Theoretical density   10.20 g/cm3
Energy relative to the elements   -20.2 kJ per mole of atoms

a b c (Å): 5.381 6.675 8.740
angles (deg): 103.05 107.94 89.98
Last column: magnetic moment on the atom in μB.
Positions (direct):
Hg1 0.500 0.000 0.000  0.01
Tl1 0.711 0.831 0.421  0.01
Ce1 0.092 0.830 0.184  0.88
Tl2 0.289 0.169 0.579  0.01
Tl3 0.102 0.351 0.204  0.01
Tl4 0.500 0.500 0.000  0.01
Ce2 0.908 0.170 0.816  0.88
Tl5 0.898 0.649 0.796  0.01
Ce3 0.692 0.326 0.385  0.88
Ce4 0.308 0.674 0.615  0.88

Record 3
This record from Alexandria via LeMat-Bulk describes crystalline Sr2Cd4N at its relaxed geometry. The functional is PBE.

Computed properties:
Raw total energy   -2.064 eV/atom
Calculated volume   200.7 Å³/f.u.
E_form (uncorrected)   0.9 eV/f.u.
Theoretical density   5.28 g/cm3

a b c (Å): 4.720 4.720 9.608
angles (deg): 75.78 75.78 90.00
Positions (direct):
N1 0.000 0.000 0.000
Sr1 0.675 0.675 0.650
Sr2 0.325 0.325 0.350
Cd1 0.500 0.000 0.000
Cd2 0.868 0.868 0.264
Cd3 0.132 0.132 0.736
Cd4 0.000 0.500 0.000

Record 4
This record from Alexandria via LeMat-Bulk describes crystalline NbPd2Au6 at its relaxed geometry. The functional is PBE.

Computed properties:
Raw total energy   -4.571 eV/atom
Calculated volume   156.1 Å³/f.u.
Theoretical density   15.82 g/cm3
Energy relative to the elements   -10.9 kJ per mole of atoms

a b c (Å): 3.977 6.572 6.615
angles (deg): 107.85 107.49 90.00
Positions (direct):
Au1 0.162 0.506 0.324
Au2 0.391 0.829 0.782
Au3 0.838 0.494 0.676
Au4 0.719 0.835 0.438
Nb1 0.500 0.500 0.000
Pd1 0.051 0.823 0.101
Pd2 0.949 0.177 0.899
Au5 0.609 0.171 0.218
Au6 0.281 0.165 0.562

Record 5
This record from Alexandria via LeMat-Bulk describes crystalline Ge2W at its relaxed geometry. The functional is PBE.

Computed properties:
Raw total energy   -6.964 eV/atom
Calculated volume   56.2 Å³/f.u.
Theoretical density   9.72 g/cm3
Energy relative to the elements   41.6 kJ per mole of atoms

a b c (Å): 2.678 6.422 6.536
angles (deg): 90.00 90.00 90.00
Positions (direct):
W1 0.500 0.000 0.000
Ge1 0.500 0.165 0.369
W2 0.000 0.500 0.500
Ge2 0.500 0.835 0.631
Ge3 0.000 0.665 0.131
Ge4 0.000 0.335 0.869

Record 6
This record from Alexandria via LeMat-Bulk describes crystalline AgTe2IN at its relaxed geometry. The functional is PBE.

Computed properties:
E above lowest polymorph   0.000 eV per atom
Raw total energy   -2.925 eV/atom
Calculated volume   116.7 Å³/f.u.
E_form (uncorrected)   4.4 eV/f.u.
Theoretical density   7.17 g/cm3

a b c (Å): 4.891 4.891 4.879
angles (deg): 90.00 90.00 90.00
Positions (direct):
Te1 0.500 0.000 0.000
N1 0.000 0.000 0.000
Ag1 0.500 0.500 0.500
I1 0.000 0.000 0.500
Te2 0.000 0.500 0.000

Record 7
This record from Alexandria via LeMat-Bulk describes crystalline LaZr2Bi2 at its relaxed geometry. The functional is PBE.

Computed properties:
E above lowest polymorph   0.000 eV per atom
Raw total energy   -6.432 eV/atom
Calculated volume   143.6 Å³/f.u.
Theoretical density   8.55 g/cm3
Energy relative to the elements   -45.8 kJ per mole of atoms

a b c (Å): 4.383 4.383 8.092
angles (deg): 74.29 74.29 90.00
Positions (direct):
Zr1 0.750 0.250 0.500
La1 0.000 0.000 0.000
Bi1 0.609 0.609 0.782
Zr2 0.250 0.750 0.500
Bi2 0.391 0.391 0.218

Record 8
This record from Alexandria via LeMat-Bulk describes crystalline SrTlTe2I at its relaxed geometry. The functional is PBE.

Computed properties:
E above lowest polymorph   0.000 eV per atom
Raw total energy   -2.811 eV/atom
Calculated volume   206.4 Å³/f.u.
E_form (uncorrected)   -2.2 eV/f.u.
Theoretical density   5.42 g/cm3

a b c (Å): 5.767 5.767 6.204
angles (deg): 90.00 90.00 90.00
Positions (direct):
Sr1 0.500 0.500 0.500
Te1 0.000 0.500 0.000
I1 0.000 0.000 0.500
Te2 0.500 0.000 0.000
Tl1 0.000 0.000 0.000

Record 9
This record from Alexandria via LeMat-Bulk describes crystalline K2PaTlO6 at its relaxed geometry. The functional is PBE.

Computed properties:
Raw total energy   -6.217 eV/atom
Calculated volume   163.2 Å³/f.u.
E_form (uncorrected)   -18.4 eV/f.u.
Theoretical density   6.20 g/cm3

a b c (Å): 6.134 6.135 6.136
angles (deg): 59.99 59.99 59.99
Positions (direct):
O1 0.574 0.059 0.794
O2 0.574 0.574 0.794
K1 0.066 0.066 0.802
O3 0.059 0.058 0.309
K2 0.566 0.566 0.301
O4 0.574 0.059 0.309
O5 0.059 0.574 0.309
O6 0.059 0.574 0.794
Pa1 0.816 0.816 0.552
Tl1 0.316 0.316 0.052

Record 10
This record from Alexandria via LeMat-Bulk describes crystalline BeAl2Se at its relaxed geometry. The functional is PBE.

Computed properties:
E above lowest polymorph   0.047 eV per atom
Raw total energy   -3.580 eV/atom
Calculated volume   67.9 Å³/f.u.
E_form (uncorrected)   0.4 eV/f.u.
Theoretical density   3.47 g/cm3

a b c (Å): 6.954 6.954 6.954
angles (deg): 28.56 28.56 28.56
Positions (direct):
Al1 0.506 0.506 0.506
Al2 0.994 0.994 0.994
Se1 0.750 0.750 0.750
Be1 0.250 0.250 0.250

Question: Number 7 is which compound?
Answer: LaZr2Bi2